Entry from Alexandria via LeMat-Bulk: crystalline Al3AuS at its relaxed geometry (PBE-GGA).

Its energy above the most stable polymorph in this dataset is 0 meV/atom. The value obtained for the formation energy without anion corrections is 65 meV per atom. The density of states at the Fermi level is 0.0346 states/eV/atom. Its space group is Pm-3m, No. 221.

```
Al3AuS
1.0
4.820 0.000 0.000
0.000 4.820 0.000
0.000 0.000 4.820
Al Au S
3 1 1
Direct
0.000 0.000 0.500 Al
0.000 0.500 0.000 Al
0.500 0.000 0.000 Al
0.000 0.000 0.000 Au
0.500 0.500 0.500 S
```